First-principles (GGA-PBE) data for a relaxed structure of CaIn2Pb, as listed in Alexandria.

Computed properties:
* raw total energy: -11.71 eV per formula unit
* calculated formation energy: -0.1319 eV per atom
* D(E_F): 1.14 states/eV/f.u.
* crystal system: trigonal
* SG: R-3m, No. 166

Lattice parameters (Å, degrees): 10.227 10.227 10.227 21.05 21.05 21.05
Atoms (fractional coordinates):
In (0.999, 0.999, 0.999)
In (0.501, 0.501, 0.501)
Pb (0.250, 0.250, 0.250)
Ca (0.750, 0.750, 0.750)

First-principles (GGA-PBE) data for a relaxed structure of Np2GeS6, as listed in Alexandria.

Computed properties:
* raw total energy: -62.37 eV per formula unit
* D(E_F): 17.89 states/eV/f.u.
* crystal system: tetragonal
* energy relative to the elements, uncorrected: -685.2 kJ/mol of formula units
* SG: P4_2/mnm, No. 136

Lattice parameters (Å, degrees): 6.092 6.092 12.067 90.00 90.00 90.00
Each line ends with the local moment (μB).
Atoms (fractional coordinates):
S (0.309, 0.309, 0.000)  -0.15
S (0.306, 0.306, 0.667)  -0.15
S (0.694, 0.694, 0.333)  -0.15
S (0.306, 0.306, 0.333)  -0.15
S (0.194, 0.806, 0.833)  -0.15
S (0.191, 0.809, 0.500)  -0.15
S (0.691, 0.691, 0.000)  -0.15
S (0.194, 0.806, 0.167)  -0.15
S (0.806, 0.194, 0.833)  -0.15
S (0.806, 0.194, 0.167)  -0.15
S (0.694, 0.694, 0.667)  -0.15
S (0.809, 0.191, 0.500)  -0.15
Np (0.000, 0.000, 0.667)  2.63
Np (0.500, 0.500, 0.833)  2.63
Np (0.000, 0.000, 0.333)  2.63
Np (0.500, 0.500, 0.167)  2.63
Ge (0.500, 0.500, 0.500)  -0.05
Ge (0.000, 0.000, 0.000)  -0.05

First-principles (GGA-PBE) data for a relaxed structure of Tb3Nd2Sc, as listed in Alexandria.

Computed properties:
* raw total energy: -29.53 eV per formula unit
* polymorph energy (0 for the lowest one): 0.000 eV per atom
* calculated formation energy: 0.0373 eV per atom
* D(E_F): 8.89 states/eV/f.u.
* crystal system: orthorhombic
* SG: Cmmm, No. 65

Lattice parameters (Å, degrees): 5.015 10.103 9.392 122.54 105.49 90.00
Atoms (fractional coordinates):
Nd (0.663, 0.663, 0.326)
Nd (0.663, 0.163, 0.326)
Nd (0.337, 0.837, 0.674)
Nd (0.337, 0.337, 0.674)
Tb (0.500, 0.750, 0.000)
Tb (0.164, 0.914, 0.328)
Tb (0.164, 0.414, 0.328)
Tb (0.836, 0.086, 0.672)
Tb (0.836, 0.586, 0.672)
Tb (0.500, 0.250, 0.000)
Sc (0.000, 0.000, 0.000)
Sc (0.000, 0.500, 0.000)